Record 1
Material: LiCuNi2
Method: DFT, PBE-GGA
State: optimized geometry

a b c (Å): 2.4549 2.4549 8.4059
angles (deg): 90.00 90.00 115.78
Positions (direct):
Ni  0.0000  0.0000  0.4994
Ni  0.0000  0.0000  0.0006
Li  0.5000  0.5000  0.7500
Cu  0.5000  0.5000  0.2500

Crystal system   orthorhombic
ΔE_f   26 meV per atom
Volume   11.4 Å³/atom
Density of states at the Fermi level   2.5 states/eV/cell


Record 2
Material: CaTc2Br
Method: DFT, PBE-GGA
State: optimized geometry

a b c (Å): 3.1418 3.1418 7.6010
angles (deg): 90.00 90.00 90.00
Positions (direct):
Br  0.5000  0.5000  0.2500
Tc  0.0000  0.0000  0.4467
Tc  0.0000  0.0000  0.0533
Ca  0.5000  0.5000  0.7500

Crystal system   tetragonal
Formation energy without anion corrections   385 kJ/mol of formula units
Offset from the most stable computed form   24.402 kcal/mol of atoms
Volume   18.8 Å³/atom
Density of states at the Fermi level   5.7 states/eV/cell


Record 3
Material: MnCoSb2
Method: DFT, PBE-GGA
State: optimized geometry

a b c (Å): 3.1870 3.1870 7.1817
angles (deg): 90.00 90.00 97.18
Positions (direct):
Co  0.5000  0.5000  0.2500
Sb  0.0000  0.0000  0.0188
Sb  0.0000  0.0000  0.4812
Mn  0.5000  0.5000  0.7500

Crystal system   orthorhombic
Formation energy without anion corrections   109 kJ/mol of formula units
Offset from the most stable computed form   5.247 kcal/mol of atoms
Volume   18.1 Å³/atom
Density of states at the Fermi level   3.0 states/eV/cell


Record 4
Material: Rb2PaFeS5
Method: DFT, PBE-GGA
State: optimized geometry

a b c (Å): 4.1278 9.7646 14.0737
angles (deg): 90.00 90.00 102.20
Positions (direct):
S  0.6714  0.3427  0.5087
S  0.5093  0.0186  0.7977
S  0.3038  0.6077  0.6462
S  0.0577  0.1153  0.0103
S  0.6876  0.3751  0.8960
S  0.3124  0.6249  0.3960
S  0.3286  0.6573  0.0087
S  0.9423  0.8847  0.5103
S  0.4907  0.9814  0.2977
S  0.6962  0.3923  0.1462
Pa  0.1995  0.3990  0.0263
Pa  0.8005  0.6010  0.5263
Rb  0.8837  0.7674  0.1803
Rb  0.1163  0.2326  0.6803
Rb  0.1249  0.2497  0.3319
Rb  0.8751  0.7503  0.8319
Fe  0.5674  0.1348  0.9265
Fe  0.4326  0.8652  0.4265

Crystal system   orthorhombic
Formation energy without anion corrections   -985 kJ/mol of formula units
Volume   30.8 Å³/atom
Density of states at the Fermi level   3.6 states/eV/cell


Record 5
Material: NaInH6Ir2
Method: DFT, PBE-GGA
State: optimized geometry

a b c (Å): 4.6788 4.6788 6.2428
angles (deg): 67.99 67.99 60.00
Positions (direct):
In  0.5000  0.5000  0.5000
Na  0.0000  0.0000  0.0000
H  0.4131  0.9920  0.1814
H  0.4135  0.4131  0.1814
H  0.0080  0.5865  0.8186
H  0.5865  0.5869  0.8186
H  0.5869  0.0080  0.8186
H  0.9920  0.4135  0.1814
Ir  0.7951  0.7951  0.6146
Ir  0.2049  0.2049  0.3854

Crystal system   trigonal
E_tot   -4.262 eV/atom
Volume   10.7 Å³/atom
Density of states at the Fermi level   2.5 states/eV/cell


Record 6
Material: LiCa3In2
Method: DFT, PBE-GGA
State: optimized geometry

a b c (Å): 4.0002 5.3762 8.5451
angles (deg): 108.34 90.00 90.00
Positions (direct):
Ca  0.5000  0.1702  0.3404
Ca  0.5000  0.8298  0.6596
Ca  0.5000  0.5000  0.0000
In  0.0000  0.6625  0.3250
In  0.0000  0.3375  0.6750
Li  0.0000  0.0000  0.0000

Crystal system   orthorhombic
ΔE_f   -338 meV per atom
Offset from the most stable computed form   0.000 kcal/mol of atoms
Volume   29.1 Å³/atom
Density of states at the Fermi level   4.3 states/eV/cell


Record 7
Material: Rb4Ce3CdS8
Method: DFT, PBE-GGA
State: optimized geometry

a b c (Å): 8.3633 9.0575 8.3646
angles (deg): 117.51 119.99 90.00
Positions (direct):
Ce  0.5000  0.5000  0.0000
Ce  0.5000  0.5000  0.5000
Ce  0.0000  0.5000  0.5000
S  0.7670  0.3061  0.0391
S  0.2720  0.3061  0.0391
S  0.2330  0.6939  0.9609
S  0.7319  0.6957  0.4638
S  0.7669  0.3059  0.5338
S  0.2681  0.3043  0.5362
S  0.7280  0.6939  0.9609
S  0.2331  0.6941  0.4662
Rb  0.5000  0.0000  0.0000
Rb  0.5000  0.0000  0.5000
Rb  0.0000  0.0000  0.5000
Rb  0.0000  0.0000  0.0000
Cd  0.0000  0.5000  0.0000

Crystal system   trigonal
Formation energy without anion corrections   -2386 kJ/mol of formula units
Volume   29.0 Å³/atom
Density of states at the Fermi level   12.9 states/eV/cell


Record 8
Material: Ac3Zn7Ga4
Method: DFT, PBE-GGA
State: optimized geometry

a b c (Å): 4.5965 8.6880 8.6489
angles (deg): 67.06 74.59 74.66
Positions (direct):
Zn  0.6571  0.2025  0.4833
Zn  0.1480  0.6239  0.0801
Zn  0.4998  0.1998  0.8007
Zn  0.8520  0.3761  0.9199
Zn  0.3429  0.7975  0.5167
Zn  0.0000  0.0000  0.0000
Zn  0.5002  0.8002  0.1993
Ga  0.1449  0.0767  0.6336
Ga  0.8551  0.9233  0.3664
Ga  0.3443  0.5214  0.7900
Ga  0.6557  0.4786  0.2100
Ac  0.6978  0.8010  0.8034
Ac  0.0000  0.5000  0.5000
Ac  0.3022  0.1990  0.1966

Crystal system   monoclinic
ΔE_f   -368 meV per atom
Volume   21.5 Å³/atom
Density of states at the Fermi level   4.6 states/eV/cell